Record 1
Below is a geometry-optimized CeHo6Tm3Sc2 structure, with properties calculated at the PBE level.

total magnetic moment = 1.13 μB per formula unit
formation energy from the elements = 0.054 eV per atom
crystal system = monoclinic
DOS at the Fermi energy = 20.2 states/eV/f.u.
E = -4.90 eV/atom
calculated density = 8.07 g/cm³
calculated volume = 29.59 Å³ per atom

Lattice parameters (Å, degrees): 6.010 6.010 11.525 94.98 94.98 119.97
Fractional coordinates of all 12 atoms:
1 Ce 0.000 0.000 0.000
2 Ho 0.917 0.584 0.753
3 Ho 0.749 0.749 0.247
4 Ho 0.083 0.416 0.247
5 Ho 0.584 0.917 0.753
6 Ho 0.251 0.251 0.753
7 Ho 0.416 0.083 0.247
8 Tm 0.168 0.832 0.500
9 Tm 0.832 0.168 0.500
10 Tm 0.500 0.500 0.500
11 Sc 0.333 0.667 0.000
12 Sc 0.667 0.333 0.000


Record 2
Below is a geometry-optimized LaPr6NdSm2 structure, with properties calculated at the PBE level.

total magnetic moment = 0.00 μB per formula unit
formation energy from the elements = 0.108 eV per atom
crystal system = monoclinic
DOS at the Fermi energy = 15.6 states/eV/f.u.
E = -4.67 eV/atom
calculated density = 6.57 g/cm³
calculated volume = 36.10 Å³ per atom

Lattice parameters (Å, degrees): 10.031 9.082 9.082 118.00 94.49 94.49
Fractional coordinates of all 20 atoms:
1 La 0.250 0.405 0.595
2 La 0.750 0.595 0.405
3 Pr 0.055 0.113 0.752
4 Pr 0.445 0.248 0.887
5 Pr 0.945 0.887 0.248
6 Pr 0.555 0.752 0.113
7 Pr 0.318 0.979 0.431
8 Pr 0.182 0.569 0.021
9 Pr 0.682 0.021 0.569
10 Pr 0.818 0.431 0.979
11 Pr 0.121 0.703 0.494
12 Pr 0.379 0.506 0.297
13 Pr 0.879 0.297 0.506
14 Pr 0.621 0.494 0.703
15 Nd 0.250 0.975 0.025
16 Nd 0.750 0.025 0.975
17 Sm 0.456 0.808 0.711
18 Sm 0.044 0.289 0.192
19 Sm 0.544 0.192 0.289
20 Sm 0.956 0.711 0.808


Record 3
Below is a geometry-optimized GdTmPt4 structure, with properties calculated at the PBE level.

total magnetic moment = 7.11 μB per formula unit
formation energy from the elements = -1.119 eV per atom
crystal system = cubic
DOS at the Fermi energy = 2.7 states/eV/f.u.
E = -8.24 eV/atom
calculated density = 16.22 g/cm³
calculated volume = 18.89 Å³ per atom

Lattice parameters (Å, degrees): 5.432 5.432 5.432 60.00 60.00 60.00
Fractional coordinates of all 6 atoms:
1 Gd 0.250 0.250 0.250
2 Tm 0.000 0.000 0.000
3 Pt 0.625 0.625 0.124
4 Pt 0.625 0.124 0.625
5 Pt 0.625 0.625 0.625
6 Pt 0.124 0.625 0.625